Entry 1:
This record from Alexandria via LeMat-Bulk describes a crystal of LaTaP2S relaxed with PBEsol. The functional is SCAN.

```
data_LaTaP2S
_chemical_formula_sum 'La1 Ta1 P2 S1'
_symmetry_space_group_name_H-M 'P 4/m m m'
_symmetry_Int_Tables_number 123
_symmetry_space_group_name_Hall '-P 4 2'
_cell_length_a 4.783
_cell_length_b 4.783
_cell_length_c 4.718
_cell_angle_alpha 90.00
_cell_angle_beta 90.00
_cell_angle_gamma 90.00
loop_
_atom_site_label
_atom_site_fract_x
_atom_site_fract_y
_atom_site_fract_z
_atom_site_occupancy
La1 0.000 0.000 0.000 1
Ta1 0.500 0.500 0.500 1
P1 0.000 0.500 0.500 1
S1 0.500 0.500 0.000 1
```

Properties
The crystal system is tetragonal. The raw total energy is -28.997 eV/atom.

Entry 2:
This record from Alexandria via LeMat-Bulk describes a crystal of LaTc2PS relaxed with PBEsol. The functional is SCAN.

```
data_LaTc2PS
_chemical_formula_sum 'La1 Tc2 P1 S1'
_symmetry_space_group_name_H-M 'P 4/m m m'
_symmetry_Int_Tables_number 123
_symmetry_space_group_name_Hall '-P 4 2'
_cell_length_a 4.300
_cell_length_b 4.300
_cell_length_c 5.409
_cell_angle_alpha 90.00
_cell_angle_beta 90.00
_cell_angle_gamma 90.00
loop_
_atom_site_label
_atom_site_fract_x
_atom_site_fract_y
_atom_site_fract_z
_atom_site_occupancy
La1 0.000 0.000 0.000 1
Tc1 0.000 0.500 0.500 1
P1 0.500 0.500 0.000 1
S1 0.000 0.000 0.500 1
```

Properties
The crystal system is tetragonal. The raw total energy is -26.570 eV/atom.

Entry 3:
This record from Alexandria via LeMat-Bulk describes a crystal of LaTiP2S relaxed with PBEsol. The functional is SCAN.

```
data_LaTiP2S
_chemical_formula_sum 'La1 Ti1 P2 S1'
_symmetry_space_group_name_H-M 'P 4/m m m'
_symmetry_Int_Tables_number 123
_symmetry_space_group_name_Hall '-P 4 2'
_cell_length_a 5.155
_cell_length_b 5.155
_cell_length_c 5.290
_cell_angle_alpha 90.00
_cell_angle_beta 90.00
_cell_angle_gamma 90.00
loop_
_atom_site_label
_atom_site_fract_x
_atom_site_fract_y
_atom_site_fract_z
_atom_site_occupancy
La1 0.000 0.000 0.000 1
Ti1 0.500 0.500 0.500 1
P1 0.000 0.500 0.000 1
S1 0.000 0.000 0.500 1
```

Properties
The crystal system is tetragonal. The raw total energy is -17.401 eV/atom.

Entry 4:
This record from Alexandria via LeMat-Bulk describes a crystal of LaZrPS2 relaxed with PBEsol. The functional is SCAN.

```
data_LaZrPS2
_chemical_formula_sum 'La1 Zr1 P1 S2'
_symmetry_space_group_name_H-M 'P 4/m m m'
_symmetry_Int_Tables_number 123
_symmetry_space_group_name_Hall '-P 4 2'
_cell_length_a 4.832
_cell_length_b 4.832
_cell_length_c 5.020
_cell_angle_alpha 90.00
_cell_angle_beta 90.00
_cell_angle_gamma 90.00
loop_
_atom_site_label
_atom_site_fract_x
_atom_site_fract_y
_atom_site_fract_z
_atom_site_occupancy
La1 0.000 0.000 0.000 1
Zr1 0.500 0.500 0.500 1
P1 0.500 0.500 0.000 1
S1 0.000 0.500 0.500 1
```

Properties
The crystal system is tetragonal. The raw total energy is -22.220 eV/atom.

Entry 5:
This record from Alexandria via LeMat-Bulk describes a crystal of LaSbP2 relaxed with PBEsol. The functional is SCAN.

```
data_LaSbP2
_chemical_formula_sum 'La3 Sb3 P6'
_symmetry_space_group_name_H-M 'R -3 m'
_symmetry_Int_Tables_number 166
_symmetry_space_group_name_Hall '-R 3 2"'
_cell_length_a 4.0802
_cell_length_b 4.0802
_cell_length_c 20.3517
_cell_angle_alpha 90.00
_cell_angle_beta 90.00
_cell_angle_gamma 120.00
loop_
_atom_site_label
_atom_site_fract_x
_atom_site_fract_y
_atom_site_fract_z
_atom_site_occupancy
La1 0.0000 0.0000 0.0000 1
Sb1 0.0000 0.0000 0.5000 1
P1 0.0000 0.0000 0.2466 1
```

Properties
The crystal system is trigonal. The raw total energy is -25.973 eV/atom.

Entry 6:
This record from Alexandria via LeMat-Bulk describes a crystal of La2SbP relaxed with PBEsol. The functional is SCAN.

```
data_La2SbP
_chemical_formula_sum 'La2 Sb1 P1'
_symmetry_space_group_name_H-M 'P 4/m m m'
_symmetry_Int_Tables_number 123
_symmetry_space_group_name_Hall '-P 4 2'
_cell_length_a 4.404
_cell_length_b 4.404
_cell_length_c 6.234
_cell_angle_alpha 90.00
_cell_angle_beta 90.00
_cell_angle_gamma 90.00
loop_
_atom_site_label
_atom_site_fract_x
_atom_site_fract_y
_atom_site_fract_z
_atom_site_occupancy
La1 0.000 0.000 0.000 1
La2 0.500 0.500 0.500 1
Sb1 0.000 0.000 0.500 1
P1 0.500 0.500 0.000 1
```

Properties
The crystal system is tetragonal. The raw total energy is -34.990 eV/atom. The energy above the most stable polymorph in this dataset is 0.060 eV/atom.

Entry 7:
This record from Alexandria via LeMat-Bulk describes a crystal of La2SbP relaxed with PBEsol. The functional is SCAN.

```
data_La2SbP
_chemical_formula_sum 'La6 Sb3 P3'
_symmetry_space_group_name_H-M 'R -3 m'
_symmetry_Int_Tables_number 166
_symmetry_space_group_name_Hall '-R 3 2"'
_cell_length_a 4.3654
_cell_length_b 4.3654
_cell_length_c 21.7227
_cell_angle_alpha 90.00
_cell_angle_beta 90.00
_cell_angle_gamma 120.00
loop_
_atom_site_label
_atom_site_fract_x
_atom_site_fract_y
_atom_site_fract_z
_atom_site_occupancy
La1 0.0000 0.0000 0.2428 1
Sb1 0.0000 0.0000 0.0000 1
P1 0.0000 0.0000 0.5000 1
```

Properties
The crystal system is trigonal. The raw total energy is -35.050 eV/atom. The energy above the most stable polymorph in this dataset is 0.000 eV/atom.

Entry 8:
This record from Alexandria via LeMat-Bulk describes a crystal of LaSb2P relaxed with PBEsol. The functional is SCAN.

```
data_LaSb2P
_chemical_formula_sum 'La4 Sb8 P4'
_symmetry_space_group_name_H-M 'F -4 3 m'
_symmetry_Int_Tables_number 216
_symmetry_space_group_name_Hall 'F -4 2 3'
_cell_length_a 7.388
_cell_length_b 7.388
_cell_length_c 7.388
_cell_angle_alpha 90.00
_cell_angle_beta 90.00
_cell_angle_gamma 90.00
loop_
_atom_site_label
_atom_site_fract_x
_atom_site_fract_y
_atom_site_fract_z
_atom_site_occupancy
La1 0.000 0.000 0.000 1
Sb1 0.000 0.000 0.500 1
Sb2 0.250 0.250 0.250 1
P1 0.250 0.250 0.750 1
```

Properties
The crystal system is cubic. The raw total energy is -32.332 eV/atom.

Entry 9:
This record from Alexandria via LeMat-Bulk describes a crystal of La2SbP relaxed with PBEsol. The functional is SCAN.

```
data_La2SbP
_chemical_formula_sum 'La4 Sb2 P2'
_symmetry_space_group_name_H-M 'A m m 2'
_symmetry_Int_Tables_number 38
_cell_length_a 4.651
_cell_length_b 4.172
_cell_length_c 11.784
_cell_angle_alpha 90.00
_cell_angle_beta 90.00
_cell_angle_gamma 90.00
loop_
_symmetry_equiv_pos_as_xyz
'x,y,z'
'-x,-y,z'
'-x,y,z'
'x,-y,z'
'x,y+1/2,z+1/2'
'-x,-y+1/2,z+1/2'
'-x,y+1/2,z+1/2'
'x,-y+1/2,z+1/2'
loop_
_atom_site_label
_atom_site_fract_x
_atom_site_fract_y
_atom_site_fract_z
_atom_site_occupancy
La1 0.000 0.000 0.000 1
La2 0.500 0.000 0.254 1
Sb1 0.500 0.000 0.524 1
P1 0.000 0.000 0.757 1
```

Properties
The crystal system is orthorhombic. The raw total energy is -34.828 eV/atom. The energy above the most stable polymorph in this dataset is 0.222 eV/atom.

Entry 10:
This record from Alexandria via LeMat-Bulk describes a crystal of LaSbP2 relaxed with PBEsol. The functional is SCAN.

```
data_LaSbP2
_chemical_formula_sum 'La1 Sb1 P2'
_symmetry_space_group_name_H-M 'P 1 2/m 1'
_symmetry_Int_Tables_number 10
_cell_length_a 4.207
_cell_length_b 3.971
_cell_length_c 5.953
_cell_angle_alpha 90.00
_cell_angle_beta 102.94
_cell_angle_gamma 90.00
loop_
_symmetry_equiv_pos_as_xyz
'x,y,z'
'-x,-y,-z'
'-x,y,-z'
'x,-y,z'
loop_
_atom_site_label
_atom_site_fract_x
_atom_site_fract_y
_atom_site_fract_z
_atom_site_occupancy
La1 0.000 0.000 0.000 1
Sb1 0.500 0.000 0.500 1
P1 0.394 0.500 0.811 1
```

Properties
The crystal system is monoclinic. The raw total energy is -25.980 eV/atom.

Entry 11:
This record from Alexandria via LeMat-Bulk describes a crystal of La4SbP relaxed with PBEsol. The functional is SCAN.

```
data_La4SbP
_chemical_formula_sum 'La16 Sb4 P4'
_symmetry_space_group_name_H-M 'F -4 3 m'
_symmetry_Int_Tables_number 216
_symmetry_space_group_name_Hall 'F -4 2 3'
_cell_length_a 8.796
_cell_length_b 8.796
_cell_length_c 8.796
_cell_angle_alpha 90.00
_cell_angle_beta 90.00
_cell_angle_gamma 90.00
loop_
_atom_site_label
_atom_site_fract_x
_atom_site_fract_y
_atom_site_fract_z
_atom_site_occupancy
La1 0.125 0.125 0.125 1
Sb1 0.250 0.250 0.750 1
P1 0.000 0.000 0.500 1
```

Properties
The crystal system is cubic. The raw total energy is -36.771 eV/atom.

Entry 12:
This record from Alexandria via LeMat-Bulk describes a crystal of LaSbP relaxed with PBEsol. The functional is SCAN.

```
data_LaSbP
_chemical_formula_sum 'La4 Sb4 P4'
_symmetry_space_group_name_H-M 'F -4 3 m'
_symmetry_Int_Tables_number 216
_symmetry_space_group_name_Hall 'F -4 2 3'
_cell_length_a 6.844
_cell_length_b 6.844
_cell_length_c 6.844
_cell_angle_alpha 90.00
_cell_angle_beta 90.00
_cell_angle_gamma 90.00
loop_
_atom_site_label
_atom_site_fract_x
_atom_site_fract_y
_atom_site_fract_z
_atom_site_occupancy
La1 0.000 0.000 0.000 1
Sb1 0.000 0.000 0.500 1
P1 0.250 0.250 0.750 1
```

Properties
The crystal system is cubic. The raw total energy is -30.901 eV/atom.

Q: raw total energy of number 6 (La2SbP)?
A: -34.990 eV/atom

Q: Look up the raw total energy of the seventh one.
A: -35.050 eV/atom